Run i
The following is a PBE-GGA calculation of an optimized crystal structure of NaY2Sn2, from Alexandria.

Cell lengths 9.0943, 9.0943, 3.5348 Å; angles 90.00, 90.00, 90.00 degrees
Closest atoms and distances in Å follow each position.
Space group P4/mbm (No. 127)
Unique sites:
Na (0.0000, 0.0000, 0.0000) (multiplicity 2)  4 Sn 3.41, 2 Na 3.53
Y (0.1379, 0.3621, 0.5000) (multiplicity 4)  6 Sn 3.12-3.26
Sn (0.1618, 0.6618, 0.0000) (multiplicity 4)  6 Y 3.12-3.26, 2 Na 3.41

Results
The volume comes out at 292.4 Å³ per cell.


Run ii
The following is a PBE-GGA calculation of an optimized crystal structure of NaY2Sn2, from Alexandria.

Cell lengths 9.1868, 9.1868, 3.4511 Å; angles 90.00, 90.00, 90.00 degrees
Closest atoms and distances in Å follow each position.
Space group P4/mbm (No. 127)
Unique sites:
Na (0.0000, 0.0000, 0.0000) (multiplicity 2)  2 Na 3.45, 4 Y 3.59, 8 Sn 3.83
Y (0.1318, 0.3682, 0.0000) (multiplicity 4)  6 Sn 3.13-3.26, 3 Y 3.42-3.45
Sn (0.1674, 0.6674, 0.5000) (multiplicity 4)  6 Y 3.13-3.26, 2 Sn 3.45

Results
The volume comes out at 291.3 Å³ per cell.


The most stable of them is run i.


Run i
The following is a PBE-GGA calculation of an optimized crystal structure of Na3YSn, from Alexandria.

Cell lengths 6.0467, 6.0467, 6.0467 Å; angles 90.00, 90.00, 90.00 degrees
Closest atoms and distances in Å follow each position.
Space group Pm-3m (No. 221)
Unique sites:
Na (0.0000, 0.0000, 0.5000) (multiplicity 3)  2 Y 3.02
Y (0.0000, 0.0000, 0.0000) (multiplicity 1)  6 Na 3.02
Sn (0.5000, 0.5000, 0.5000) (multiplicity 1)  12 Na 4.28

Results
The volume comes out at 221.1 Å³ per cell.


Run ii
The following is a PBE-GGA calculation of an optimized crystal structure of Na3YSn, from Alexandria.

Cell lengths 5.7294, 5.7294, 5.7294 Å; angles 90.00, 90.00, 90.00 degrees
Closest atoms and distances in Å follow each position.
Space group Pm-3m (No. 221)
Unique sites:
Na (0.0000, 0.0000, 0.5000) (multiplicity 3)  2 Sn 2.86
Y (0.5000, 0.5000, 0.5000) (multiplicity 1)  12 Na 4.05
Sn (0.0000, 0.0000, 0.0000) (multiplicity 1)  6 Na 2.86

Results
The volume comes out at 188.1 Å³ per cell.


The most stable of them is run ii.


Run i
The following is a PBE-GGA calculation of an optimized crystal structure of NaYSn3, from Alexandria.

Cell lengths 5.8187, 5.8187, 5.8187 Å; angles 90.00, 90.00, 90.00 degrees
Closest atoms and distances in Å follow each position.
Space group Pm-3m (No. 221)
Unique sites:
Na (0.0000, 0.0000, 0.0000) (multiplicity 1)  12 Sn 4.11
Y (0.5000, 0.5000, 0.5000) (multiplicity 1)  6 Sn 2.91
Sn (0.0000, 0.5000, 0.5000) (multiplicity 3)  2 Y 2.91

Results
The volume comes out at 197.0 Å³ per cell.


Run ii
The following is a PBE-GGA calculation of an optimized crystal structure of NaYSn3, from Alexandria.

Cell lengths 13.8455, 6.2353, 6.3007 Å; angles 90.00, 90.00, 90.00 degrees
Closest atoms and distances in Å follow each position.
Space group Pbcm (No. 57)
Unique sites:
Na (0.0983, 0.2500, 0.0000) (multiplicity 4)  2 Na 3.15, 6 Sn 3.33-3.42
Y (0.3215, 0.0045, 0.2500) (multiplicity 4)  9 Sn 3.09-3.36
Sn (0.1136, 0.7196, 0.7500) (multiplicity 4)  3 Sn 3.00-3.17, 1 Y 3.20, 4 Na 3.33
Sn (0.2878, 0.0051, 0.7500) (multiplicity 4)  1 Sn 3.00, 4 Y 3.09-3.21
Sn (0.4951, 0.7500, 0.0000) (multiplicity 4)  4 Sn 3.12-3.15, 4 Y 3.28-3.36

Results
The volume comes out at 543.9 Å³ per cell.


The most stable of them is run ii.


Run i
The following is a PBE-GGA calculation of an optimized crystal structure of Na2YSn2, from Alexandria.

Cell lengths 8.2536, 8.2536, 4.2742 Å; angles 90.00, 90.00, 90.00 degrees
Closest atoms and distances in Å follow each position.
Space group P4/mbm (No. 127)
Unique sites:
Na (0.1669, 0.3331, 0.0000) (multiplicity 4)  6 Sn 3.20-3.26
Y (0.0000, 0.0000, 0.5000) (multiplicity 2)  4 Sn 3.24
Sn (0.1296, 0.6296, 0.5000) (multiplicity 4)  1 Sn 3.03, 6 Na 3.20-3.26, 2 Y 3.24

Results
The volume comes out at 291.2 Å³ per cell.


Run ii
The following is a PBE-GGA calculation of an optimized crystal structure of Na2YSn2, from Alexandria.

Cell lengths 8.9922, 8.9922, 3.2599 Å; angles 90.00, 90.00, 90.00 degrees
Closest atoms and distances in Å follow each position.
Space group P4/mbm (No. 127)
Unique sites:
Na (0.1118, 0.3882, 0.0000) (multiplicity 4)  1 Na 2.84, 2 Sn 3.04
Y (0.0000, 0.0000, 0.0000) (multiplicity 2)  2 Y 3.26, 4 Na 3.63
Sn (0.1866, 0.6866, 0.5000) (multiplicity 4)  6 Na 3.04-3.21, 2 Sn 3.26

Results
The volume comes out at 263.6 Å³ per cell.


The most stable of them is run ii.


Run i
The following is a PBE-GGA calculation of an optimized crystal structure of NaY3Sn, from Alexandria.

Cell lengths 5.4258, 5.4258, 5.4258 Å; angles 90.00, 90.00, 90.00 degrees
Closest atoms and distances in Å follow each position.
Space group Pm-3m (No. 221)
Unique sites:
Na (0.0000, 0.0000, 0.0000) (multiplicity 1)  6 Y 2.71
Y (0.0000, 0.0000, 0.5000) (multiplicity 3)  2 Na 2.71
Sn (0.5000, 0.5000, 0.5000) (multiplicity 1)  12 Y 3.84

Results
The volume comes out at 159.7 Å³ per cell.


Run ii
The following is a PBE-GGA calculation of an optimized crystal structure of NaY3Sn, from Alexandria.

Cell lengths 5.8370, 5.8370, 5.8370 Å; angles 90.00, 90.00, 90.00 degrees
Closest atoms and distances in Å follow each position.
Space group Pm-3m (No. 221)
Unique sites:
Na (0.0000, 0.0000, 0.0000) (multiplicity 1)  12 Y 4.13
Y (0.0000, 0.5000, 0.5000) (multiplicity 3)  2 Sn 2.92
Sn (0.5000, 0.5000, 0.5000) (multiplicity 1)  6 Y 2.92

Results
The volume comes out at 198.9 Å³ per cell.


The most stable of them is run ii.


Run i
The following is a PBE-GGA calculation of an optimized crystal structure of Na2Zn2Sn, from Alexandria.

Cell lengths 9.9142, 5.8658, 8.4087 Å; angles 90.00, 103.26, 90.00 degrees
Closest atoms and distances in Å follow each position.
Space group C2/c (No. 15)
Unique sites:
Na (0.1492, 0.1333, 0.1531) (multiplicity 8)  6 Zn 3.12-3.23, 2 Sn 3.37-3.39
Zn (0.1392, 0.3630, 0.4965) (multiplicity 8)  1 Zn 2.55, 2 Sn 2.79
Sn (0.0000, 0.3473, 0.7500) (multiplicity 4)  4 Zn 2.79

Results
The volume comes out at 476.0 Å³ per cell.


Run ii
The following is a PBE-GGA calculation of an optimized crystal structure of Na2Zn2Sn, from Alexandria.

Cell lengths 4.2965, 4.2965, 13.1744 Å; angles 90.00, 90.00, 90.00 degrees
Closest atoms and distances in Å follow each position.
Space group I4/mmm (No. 139)
Unique sites:
Na (0.0000, 0.5000, 0.2500) (multiplicity 4)  4 Zn 2.99, 4 Na 3.04
Zn (0.0000, 0.0000, 0.0923) (multiplicity 4)  1 Zn 2.43
Sn (0.0000, 0.0000, 0.5000) (multiplicity 2)  8 Zn 3.27

Results
The volume comes out at 243.2 Å³ per cell.


The most stable of them is run i.